# LiPmScS3

Crystalline LiPmScS3 at its relaxed geometry (PBE, Alexandria via LeMat-Bulk).

abc: 7.8032 3.7749 8.3217
angles: 90.00 104.33 90.00
Space group P2_1/m (No. 11)
One atom of each set of equivalent atoms:
Li  0.0918  0.2500  0.0893 x2
Pm  0.1974  0.2500  0.7304 x2
Sc  0.3364  0.7500  0.3430 x2
S  0.1024  0.2500  0.3707 x2
S  0.2267  0.7500  0.0078 x2
S  0.4413  0.7500  0.6675 x2

Results
The energy is -6.01 eV per atom. Its uncorrected formation energy is -1.777 eV/atom.

***

# Ho3Mg4S8

Crystalline Ho3Mg4S8 at its relaxed geometry (PBE, Alexandria via LeMat-Bulk).

abc: 10.7360 10.7478 7.5940
angles: 90.00 134.64 90.00
Space group C2/m (No. 12)
One atom of each set of equivalent atoms:
Ho  0.0000  0.0000  0.0000 x2
Ho  0.2500  0.2500  0.5000 x4
Mg  0.0000  0.5000  0.0000 x2
Mg  0.0000  0.5000  0.5000 x2
Mg  0.2500  0.2500  0.0000 x4
S  0.0000  0.2551  0.0000 x4
S  0.0000  0.2566  0.5000 x4
S  0.2353  0.5000  0.9797 x4
S  0.2429  0.5000  0.4917 x4

Results
The energy is -5.21 eV per atom. Its uncorrected formation energy is -1.668 eV/atom.

***

# NpNb2Re

Crystalline NpNb2Re at its relaxed geometry (PBE, Alexandria via LeMat-Bulk).

abc: 3.1873 3.1873 7.3000
angles: 90.00 90.00 90.00
Space group P4/mmm (No. 123)
One atom of each set of equivalent atoms:
Np  0.0000  0.0000  0.0000 x1
Nb  0.5000  0.5000  0.2787 x2
Re  0.0000  0.0000  0.5000 x1

Results
The value obtained for the energy relative to the lowest polymorph listed for this composition is 0 meV/atom. The energy is -11.24 eV per atom. For the formation energy, the calculation gives 55 kJ/mol of formula units.